Below is a crystal of Na2CdSn relaxed with PBEsol, with properties calculated at the SCAN level.

a b c (Å): 4.9504 4.9504 9.9712
angles (deg): 90.00 90.00 120.00
Space group P6_3/mmc (No. 194)
Unique sites:
Na 0.3333 0.6667 0.0812 (multiplicity 4)
Cd 0.0000 0.0000 0.2500 (multiplicity 2)
Sn 0.3333 0.6667 0.7500 (multiplicity 2)

Summary:
ΔH_f (0 K), meV per atom: -292
Mass density, kg/m3: 4349
VASP energy, eV per atom: -18.983



Below is a crystal of NaCd2Sn2 relaxed with PBEsol, with properties calculated at the SCAN level.

a b c (Å): 8.4828 8.4828 3.5446
angles (deg): 90.00 90.00 90.00
Space group P4/mbm (No. 127)
Unique sites:
Na 0.0000 0.0000 0.0000 (multiplicity 2)
Cd 0.1556 0.3444 0.5000 (multiplicity 4)
Sn 0.1406 0.6406 0.0000 (multiplicity 4)

Summary:
Relative energy among the computed polymorphs, kcal/mol of atoms: 3.338
ΔH_f (0 K), meV per atom: 1
Mass density, kg/m3: 6318
VASP energy, eV per atom: -27.376



Below is a crystal of NaCd2Sn2 relaxed with PBEsol, with properties calculated at the SCAN level.

a b c (Å): 4.6588 4.6588 12.3611
angles (deg): 90.00 90.00 90.00
Space group I4/mmm (No. 139)
Unique sites:
Na 0.0000 0.0000 0.0000 (multiplicity 2)
Cd 0.0000 0.5000 0.2500 (multiplicity 4)
Sn 0.0000 0.0000 0.3872 (multiplicity 4)

Summary:
Relative energy among the computed polymorphs, kcal/mol of atoms: 0.000
ΔH_f (0 K), meV per atom: -144
Mass density, kg/m3: 6007
VASP energy, eV per atom: -27.521



Below is a crystal of NaCd2TcSn relaxed with PBEsol, with properties calculated at the SCAN level.

a b c (Å): 5.1480 5.1480 5.2031
angles (deg): 90.00 90.00 90.00
Space group P4/mmm (No. 123)
Unique sites:
Na 0.0000 0.0000 0.0000 (multiplicity 1)
Cd 0.0000 0.5000 0.5000 (multiplicity 2)
Tc 0.0000 0.0000 0.5000 (multiplicity 1)
Sn 0.5000 0.5000 0.0000 (multiplicity 1)

Summary:
ΔH_f (0 K), meV per atom: 984
Mass density, kg/m3: 5594
VASP energy, eV per atom: -26.221



Below is a crystal of Na2SrCd2 relaxed with PBEsol, with properties calculated at the SCAN level.

a b c (Å): 4.5811 4.5811 14.5622
angles (deg): 90.00 90.00 90.00
Space group I4/mmm (No. 139)
Unique sites:
Na 0.0000 0.5000 0.2500 (multiplicity 4)
Sr 0.0000 0.0000 0.0000 (multiplicity 2)
Cd 0.0000 0.0000 0.4031 (multiplicity 4)

Summary:
ΔH_f (0 K), meV per atom: -182
Mass density, kg/m3: 3895
VASP energy, eV per atom: -18.489



Below is a crystal of NaCd2TcW relaxed with PBEsol, with properties calculated at the SCAN level.

a b c (Å): 4.5036 4.5036 4.9062
angles (deg): 90.00 90.00 90.00
Space group P4/mmm (No. 123)
Unique sites:
Na 0.0000 0.0000 0.0000 (multiplicity 1)
Cd 0.0000 0.5000 0.0000 (multiplicity 2)
Tc 0.5000 0.5000 0.5000 (multiplicity 1)
W 0.0000 0.0000 0.5000 (multiplicity 1)

Summary:
ΔH_f (0 K), meV per atom: 2244
Mass density, kg/m3: 8839
VASP energy, eV per atom: -31.715